Material: LiLaTb2Hg4
Method: DFT, PBE
State: relaxed Values from VASP.

size of the total moment: 0.00 μB per cell
ΔH_f (0 K): -0.445 eV/atom
space-group type: R-3m (166)

The structure in Quantum ESPRESSO input format:
```
&SYSTEM
  ibrav = 0, nat = 8, ntyp = 4
/
ATOMIC_SPECIES
Li 6.94 Li.upf
La 138.91 La.upf
Tb 158.93 Tb.upf
Hg 200.59 Hg.upf
CELL_PARAMETERS angstrom
2.585 1.492 8.925
-2.585 1.492 8.925
0.000 -2.985 8.925
ATOMIC_POSITIONS angstrom
Li 0.000 0.000 0.000
La 0.000 0.000 13.387
Tb 0.000 0.000 6.905
Tb 0.000 0.000 19.869
Hg 0.000 0.000 3.059
Hg 0.000 0.000 9.975
Hg 0.000 0.000 16.798
Hg 0.000 0.000 23.715
```